Record 1
Material: SeSCl
Method: DFT, PBE
State: relaxed

## Properties
Its total energy is -3.192 eV/atom. Its total magnetic moment is 0.0 μB/cell. For the distance to the lowest polymorph of the same formula, the calculation gives 54 meV/atom. The value obtained for the energy relative to the elements, uncorrected is -4 kJ per mole of atoms.

a b c (Å): 4.946 6.915 8.405
angles (deg): 123.99 107.11 90.00
Fractional coordinates of all 6 atoms:
S (0.594, 0.806, 0.188)
S (0.406, 0.194, 0.812)
Cl (0.146, 0.477, 0.291)
Cl (0.854, 0.523, 0.709)
Se (0.623, 0.556, 0.245)
Se (0.377, 0.444, 0.755)


Record 2
Material: SeS6Cl2
Method: DFT, PBE
State: relaxed

## Properties
Its total energy is -3.476 eV/atom. Its total magnetic moment is 4.0 μB/cell. The value obtained for the energy relative to the elements, uncorrected is 7 kJ per mole of atoms.

a b c (Å): 13.303 4.610 13.303
angles (deg): 65.47 72.28 65.47
Fractional coordinates of all 18 atoms:
Se (0.724, 0.750, 0.276)
Se (0.276, 0.250, 0.724)
S (0.328, 0.686, 0.594)
S (0.406, 0.814, 0.672)
S (0.672, 0.314, 0.406)
S (0.594, 0.186, 0.328)
S (0.973, 0.188, 0.679)
S (0.321, 0.312, 0.027)
S (0.027, 0.812, 0.321)
S (0.679, 0.688, 0.973)
S (0.200, 0.725, 0.988)
S (0.012, 0.775, 0.800)
S (0.800, 0.275, 0.012)
S (0.988, 0.225, 0.200)
Cl (0.395, 0.283, 0.151)
Cl (0.849, 0.217, 0.605)
Cl (0.605, 0.717, 0.849)
Cl (0.151, 0.783, 0.395)


Record 3
Material: SeSCl2
Method: DFT, PBE
State: relaxed

## Properties
As for the density of states at the Fermi level: 4.0 states/eV per cell. Its total energy is -2.295 eV/atom. Its total magnetic moment is 0.4 μB/cell. For the distance to the lowest polymorph of the same formula, the calculation gives 595 meV/atom. The value obtained for the energy relative to the elements, uncorrected is 51 kJ per mole of atoms.

a b c (Å): 12.634 12.634 12.634
angles (deg): 14.24 14.24 14.24
Fractional coordinates of all 4 atoms:
S (0.500, 0.500, 0.500)
Se (0.000, 0.000, 0.000)
Cl (0.939, 0.939, 0.939)
Cl (0.061, 0.061, 0.061)


Record 4
Material: SeS2Cl8
Method: DFT, PBE
State: relaxed

## Properties
As for the density of states at the Fermi level: 7.5 states/eV per cell. Its total energy is -2.531 eV/atom. Its total magnetic moment is 2.0 μB/cell. The value obtained for the energy relative to the elements, uncorrected is -12 kJ per mole of atoms.

a b c (Å): 6.634 8.097 8.309
angles (deg): 119.16 87.13 90.00
Fractional coordinates of all 11 atoms:
Se (0.000, 0.000, 0.000)
S (0.297, 0.275, 0.551)
S (0.703, 0.725, 0.449)
Cl (0.885, 0.691, 0.797)
Cl (0.885, 0.106, 0.797)
Cl (0.115, 0.309, 0.203)
Cl (0.664, 0.589, 0.178)
Cl (0.115, 0.894, 0.203)
Cl (0.577, 0.216, 0.433)
Cl (0.423, 0.784, 0.567)
Cl (0.336, 0.411, 0.822)